Here is crystalline Pr8Sb2Pd at its relaxed geometry from Alexandria via LeMat-Bulk. Energies are from PBE.

a b c (Å): 4.8162 7.7400 9.9807
angles (deg): 99.46 103.96 90.00
Last column: nearest neighbours and their distance in Å.
Sites, in units of the cell vectors:
Pr: 0.4057 0.4969 0.8113  2 Sb 3.40, 8 Pr 3.61-3.77
Pr: 0.6534 0.0195 0.3067  1 Pd 2.95, 2 Sb 3.25
Pr: 0.7868 0.6531 0.5737  3 Sb 3.33-3.35, 7 Pr 3.51-3.71
Pr: 0.9907 0.2232 0.9814  2 Pd 2.99
Pr: 0.2132 0.3469 0.4263  3 Sb 3.33-3.35, 7 Pr 3.51-3.71
Pr: 0.3466 0.9805 0.6933  1 Pd 2.95, 2 Sb 3.25
Pr: 0.5943 0.5031 0.1887  2 Sb 3.40, 8 Pr 3.61-3.77
Pr: 0.0093 0.7768 0.0186  2 Pd 2.99
Sb: 0.8169 0.2398 0.6338  9 Pr 3.25-3.40
Sb: 0.1831 0.7602 0.3662  9 Pr 3.25-3.40
Pd: 0.5000 0.0000 0.0000  6 Pr 2.95-2.99

Results
The value obtained for the uncorrected formation energy is -509.2 meV/atom. As for the symmetry: No. 12. The value obtained for the total magnetization is 0.000 μB/f.u.